VASP calculation (PBE+U) on a geometry-optimized BaLu2CoO5 structure.

Values from the calculation:
calculated volume: 472.26 Å³ per cell
electronic total energy: -66.03 eV/f.u.
space-group type: Pnma (62)
D(E_F): 0.00 states/eV/f.u.

Cell lengths 12.0328, 5.5972, 7.0120 Å; angles 90.00, 90.00, 90.00 degrees
Closest atoms and distances in Å follow each position.
Fractional positions:
Ba: 0.0951 0.2500 0.0731  5 O 2.63-2.93
Ba: 0.4049 0.7500 0.5731  5 O 2.63-2.93
Ba: 0.5951 0.2500 0.4269  5 O 2.63-2.93
Ba: 0.9049 0.7500 0.9269  5 O 2.63-2.93
Lu: 0.0738 0.7500 0.3975  7 O 2.23-2.34
Lu: 0.2116 0.2500 0.6176  7 O 2.23-2.34
Lu: 0.2884 0.7500 0.1176  7 O 2.23-2.34
Lu: 0.4262 0.2500 0.8975  7 O 2.23-2.34
Lu: 0.5738 0.7500 0.1025  7 O 2.23-2.34
Lu: 0.7116 0.2500 0.8824  7 O 2.23-2.34
Lu: 0.7884 0.7500 0.3824  7 O 2.23-2.34
Lu: 0.9262 0.2500 0.6025  7 O 2.23-2.34
Co: 0.1612 0.7500 0.7883  5 O 1.98-2.19
Co: 0.3388 0.2500 0.2883  5 O 1.98-2.19
Co: 0.6612 0.7500 0.7117  5 O 1.98-2.19
Co: 0.8388 0.2500 0.2117  5 O 1.98-2.19
O: 0.0672 0.5057 0.6642  1 Co 1.98
O: 0.0672 0.9943 0.6642  1 Co 1.98
O: 0.1038 0.7500 0.0841  1 Co 2.19, 2 Lu 2.23
O: 0.2280 0.0022 0.3621  1 Co 1.99
O: 0.2280 0.4978 0.3621  1 Co 1.99
O: 0.2720 0.5022 0.8621  1 Co 1.99
O: 0.2720 0.9978 0.8621  1 Co 1.99
O: 0.3962 0.2500 0.5841  1 Co 2.19, 2 Lu 2.23
O: 0.4328 0.0057 0.1642  1 Co 1.98
O: 0.4328 0.4943 0.1642  1 Co 1.98
O: 0.5672 0.5057 0.8358  1 Co 1.98
O: 0.5672 0.9943 0.8358  1 Co 1.98
O: 0.6038 0.7500 0.4159  1 Co 2.19, 2 Lu 2.23
O: 0.7280 0.0022 0.1379  1 Co 1.99
O: 0.7280 0.4978 0.1379  1 Co 1.99
O: 0.7720 0.5022 0.6379  1 Co 1.99
O: 0.7720 0.9978 0.6379  1 Co 1.99
O: 0.8962 0.2500 0.9159  1 Co 2.19, 2 Lu 2.23
O: 0.9328 0.0057 0.3358  1 Co 1.98
O: 0.9328 0.4943 0.3358  1 Co 1.98